LiPt3: optimized geometry, PBE.

Its formation enthalpy at 0 K is -367 meV/atom. As for the density of states at the Fermi level: 3.261 states/eV/f.u. The calculation puts the total energy at -5.376 eV per atom. As for the space group: P6_3/mmc.

a b c (Å): 5.5039 5.5039 8.9431
angles (deg): 90.00 90.00 120.00
Fractional positions:
Li 0.0000 0.0000 0.0000
Li 0.0000 0.0000 0.5000
Li 0.3333 0.6667 0.2500
Li 0.6667 0.3333 0.7500
Pt 0.0000 0.5000 0.0000
Pt 0.0000 0.5000 0.5000
Pt 0.1652 0.3305 0.7500
Pt 0.1652 0.8348 0.7500
Pt 0.3305 0.1652 0.2500
Pt 0.5000 0.0000 0.0000
Pt 0.5000 0.0000 0.5000
Pt 0.5000 0.5000 0.0000
Pt 0.5000 0.5000 0.5000
Pt 0.6695 0.8348 0.7500
Pt 0.8348 0.1652 0.2500
Pt 0.8348 0.6695 0.2500